(1)
First-principles (meta-GGA SCAN) data for MgSc4Ni at its PBEsol-relaxed geometry, as listed in Alexandria.

E_form, eV per atom: 0.50

Cell lengths 7.9724, 7.9724, 7.9724 Å; angles 90.00, 90.00, 90.00 degrees
Space group F-43m (No. 216)
One atom of each set of equivalent atoms:
Mg 0.0000 0.0000 0.0000 (multiplicity 4)
Sc 0.1240 0.1240 0.6240 (multiplicity 16)
Ni 0.2500 0.2500 0.2500 (multiplicity 4)

(2)
First-principles (meta-GGA SCAN) data for MgNiSe2 at its PBEsol-relaxed geometry, as listed in Alexandria.

DFT total energy, eV per cell: -187.8

Cell lengths 3.5377, 3.5377, 22.8848 Å; angles 90.00, 90.00, 120.00 degrees
Space group R-3m (No. 166, hexagonal axes)
One atom of each set of equivalent atoms:
Mg 0.0000 0.0000 0.0000 (multiplicity 3)
Ni 0.0000 0.0000 0.5000 (multiplicity 3)
Se 0.0000 0.0000 0.1126 (multiplicity 6)

(3)
First-principles (meta-GGA SCAN) data for MgNi2Se at its PBEsol-relaxed geometry, as listed in Alexandria.

DFT total energy, eV per cell: -57.8

Cell lengths 3.0201, 3.8418, 4.9400 Å; angles 90.00, 90.00, 90.00 degrees
Space group Pmmm (No. 47)
One atom of each set of equivalent atoms:
Mg 0.0000 0.0000 0.0000 (multiplicity 1)
Ni 0.5000 0.5000 0.2418 (multiplicity 2)
Se 0.5000 0.0000 0.5000 (multiplicity 1)

(4)
First-principles (meta-GGA SCAN) data for MgNiSe2 at its PBEsol-relaxed geometry, as listed in Alexandria.

DFT total energy, eV per cell: -124.5

Cell lengths 3.5526, 3.5526, 11.4501 Å; angles 90.00, 90.00, 90.00 degrees
Space group I-4m2 (No. 119)
One atom of each set of equivalent atoms:
Mg 0.0000 0.0000 0.0000 (multiplicity 2)
Ni 0.0000 0.5000 0.2500 (multiplicity 2)
Se 0.0000 0.0000 0.5000 (multiplicity 2)
Se 0.0000 0.5000 0.7500 (multiplicity 2)

(5)
First-principles (meta-GGA SCAN) data for MgSiNi2 at its PBEsol-relaxed geometry, as listed in Alexandria.

DFT total energy, eV per cell: -48.7

Cell lengths 3.9848, 3.9848, 2.9559 Å; angles 90.00, 90.00, 90.00 degrees
Space group P4/mmm (No. 123)
One atom of each set of equivalent atoms:
Mg 0.0000 0.0000 0.0000 (multiplicity 1)
Si 0.5000 0.5000 0.0000 (multiplicity 1)
Ni 0.0000 0.5000 0.5000 (multiplicity 2)

(6)
First-principles (meta-GGA SCAN) data for MgSi2Ni at its PBEsol-relaxed geometry, as listed in Alexandria.

DFT total energy, eV per cell: -81.5

Cell lengths 5.2006, 7.5800, 2.7179 Å; angles 90.00, 90.00, 90.00 degrees
Space group Cmmm (No. 65)
One atom of each set of equivalent atoms:
Mg 0.0000 0.0000 0.0000 (multiplicity 2)
Si 0.2500 0.2500 0.5000 (multiplicity 4)
Ni 0.0000 0.5000 0.0000 (multiplicity 2)

(7)
First-principles (meta-GGA SCAN) data for MgSi2Ni at its PBEsol-relaxed geometry, as listed in Alexandria.

DFT total energy, eV per cell: -83.4

Cell lengths 7.3706, 3.0169, 5.5828 Å; angles 90.00, 103.33, 90.00 degrees
Space group C2/m (No. 12)
One atom of each set of equivalent atoms:
Mg 0.0000 0.0000 0.0000 (multiplicity 2)
Si 0.2352 0.0000 0.6744 (multiplicity 4)
Ni 0.0000 0.5000 0.5000 (multiplicity 2)

(8)
First-principles (meta-GGA SCAN) data for MgSi2Ni at its PBEsol-relaxed geometry, as listed in Alexandria.

DFT total energy, eV per cell: -83.2

Cell lengths 7.3207, 3.0317, 6.1403 Å; angles 90.00, 116.23, 90.00 degrees
Space group Cm (No. 8)
One atom of each set of equivalent atoms:
Mg 0.0000 0.0000 0.0000 (multiplicity 2)
Si 0.1472 0.0000 0.6712 (multiplicity 2)
Si 0.4239 0.0000 0.3230 (multiplicity 2)
Ni 0.2801 0.5000 0.4867 (multiplicity 2)

(9)
First-principles (meta-GGA SCAN) data for MgTa2NiSn at its PBEsol-relaxed geometry, as listed in Alexandria.

E_form, eV per atom: 2.04

Cell lengths 5.0242, 5.0242, 4.8194 Å; angles 90.00, 90.00, 90.00 degrees
Space group P4/mmm (No. 123)
One atom of each set of equivalent atoms:
Mg 0.0000 0.0000 0.0000 (multiplicity 1)
Ta 0.0000 0.5000 0.5000 (multiplicity 2)
Ni 0.5000 0.5000 0.0000 (multiplicity 1)
Sn 0.0000 0.0000 0.5000 (multiplicity 1)

(10)
First-principles (meta-GGA SCAN) data for SrMg2Ni2 at its PBEsol-relaxed geometry, as listed in Alexandria.

E_form, eV per atom: -0.05

Cell lengths 4.2153, 4.2153, 11.0284 Å; angles 90.00, 90.00, 90.00 degrees
Space group I4/mmm (No. 139)
One atom of each set of equivalent atoms:
Sr 0.0000 0.0000 0.0000 (multiplicity 2)
Mg 0.0000 0.5000 0.2500 (multiplicity 4)
Ni 0.0000 0.0000 0.3964 (multiplicity 4)

(11)
First-principles (meta-GGA SCAN) data for SrMgNi at its PBEsol-relaxed geometry, as listed in Alexandria.

E_form, eV per atom: 0.11

Cell lengths 4.4212, 4.4212, 4.3258 Å; angles 90.00, 90.00, 120.00 degrees
Space group P-6m2 (No. 187)
One atom of each set of equivalent atoms:
Sr 0.0000 0.0000 0.0000 (multiplicity 1)
Mg 0.3333 0.6667 0.5000 (multiplicity 1)
Ni 0.6667 0.3333 0.5000 (multiplicity 1)

(12)
First-principles (meta-GGA SCAN) data for SrMg3Ni at its PBEsol-relaxed geometry, as listed in Alexandria.

E_form, eV per atom: -0.07

Cell lengths 4.9465, 4.9465, 4.9465 Å; angles 90.00, 90.00, 90.00 degrees
Space group Pm-3m (No. 221)
One atom of each set of equivalent atoms:
Sr 0.0000 0.0000 0.0000 (multiplicity 1)
Mg 0.0000 0.5000 0.5000 (multiplicity 3)
Ni 0.5000 0.5000 0.5000 (multiplicity 1)